BeHg2Sb | SCAN | single point on PBEsol structure

a = 5.462 Å, b = 9.142 Å, c = 3.420 Å
α = 90.00°, β = 90.00°, γ = 90.00°
Sites, in units of the cell vectors:
Be 0.000 0.000 0.000
Be 0.500 0.500 0.000
Hg 0.250 0.250 0.500
Hg 0.250 0.750 0.500
Hg 0.750 0.250 0.500
Hg 0.750 0.750 0.500
Sb 0.000 0.500 0.000
Sb 0.500 0.000 0.000

## Properties
ΔE_f (raw): 2.24 eV/f.u.
D(E_F): 0.308 states/eV per atom
magnetic moment: 0.00 μB per cell
polymorph energy (0 for the lowest one): 1.06 eV per formula unit

NaCa2Cu2 | SCAN | single point on PBEsol structure

a = 7.806 Å, b = 7.806 Å, c = 3.919 Å
α = 90.00°, β = 90.00°, γ = 90.00°
Sites, in units of the cell vectors:
Na 0.000 0.000 0.000
Na 0.500 0.500 0.000
Ca 0.172 0.328 0.500
Ca 0.328 0.828 0.500
Ca 0.672 0.172 0.500
Ca 0.828 0.672 0.500
Cu 0.111 0.611 0.000
Cu 0.389 0.111 0.000
Cu 0.611 0.889 0.000
Cu 0.889 0.389 0.000

## Properties
D(E_F): 0.505 states/eV per atom
magnetic moment: 0.00 μB per cell
formation energy from the elements: -0.1 eV/f.u.

Na2CoSiO4 | SCAN | single point on PBEsol structure

a = 6.210 Å, b = 6.071 Å, c = 5.291 Å
α = 90.00°, β = 90.00°, γ = 90.00°
Sites, in units of the cell vectors:
Na 0.248 0.168 0.000
Na 0.252 0.832 0.500
Na 0.748 0.832 0.500
Na 0.752 0.168 0.000
Co 0.000 0.352 0.493
Co 0.500 0.648 0.993
Si 0.000 0.654 0.989
Si 0.500 0.346 0.489
O 0.000 0.414 0.131
O 0.000 0.621 0.681
O 0.219 0.798 0.064
O 0.281 0.202 0.564
O 0.500 0.379 0.181
O 0.500 0.586 0.631
O 0.719 0.202 0.564
O 0.781 0.798 0.064

## Properties
ΔE_f (raw): -17.51 eV/f.u.
D(E_F): 0.000 states/eV per atom
magnetic moment: 6.00 μB per cell

TaTcMo2 | SCAN | single point on PBEsol structure

a = 3.136 Å, b = 3.136 Å, c = 6.294 Å
α = 90.00°, β = 90.00°, γ = 90.00°
Sites, in units of the cell vectors:
Ta 0.000 0.000 0.000
Tc 0.500 0.500 0.248
Mo 0.000 0.000 0.500
Mo 0.500 0.500 0.740

## Properties
D(E_F): 0.322 states/eV per atom
magnetic moment: 0.00 μB per cell
polymorph energy (0 for the lowest one): 0.01 eV per formula unit
formation energy from the elements: -0.9 eV/f.u.

CaTe2CI | SCAN | single point on PBEsol structure

a = 5.875 Å, b = 5.875 Å, c = 5.795 Å
α = 90.00°, β = 90.00°, γ = 90.00°
Sites, in units of the cell vectors:
Ca 0.000 0.000 0.000
Te 0.000 0.500 0.000
Te 0.500 0.000 0.000
C 0.500 0.500 0.500
I 0.000 0.000 0.500

## Properties
ΔE_f (raw): 6.13 eV/f.u.
D(E_F): 0.764 states/eV per atom
magnetic moment: 0.85 μB per cell

Al23B50 | SCAN | single point on PBEsol structure

a = 6.064 Å, b = 10.182 Å, c = 10.296 Å
α = 95.82°, β = 95.61°, γ = 96.25°
Sites, in units of the cell vectors:
Al 0.000 0.000 0.000
Al 0.040 0.119 0.599
Al 0.121 0.362 0.801
Al 0.156 0.473 0.395
Al 0.196 0.603 0.995
Al 0.231 0.721 0.607
Al 0.282 0.842 0.199
Al 0.307 0.953 0.801
Al 0.357 0.083 0.395
Al 0.390 0.201 0.007
Al 0.442 0.320 0.598
Al 0.468 0.434 0.200
Al 0.532 0.566 0.800
Al 0.558 0.680 0.402
Al 0.610 0.799 0.993
Al 0.643 0.917 0.605
Al 0.693 0.047 0.199
Al 0.718 0.158 0.801
Al 0.769 0.279 0.393
Al 0.804 0.397 0.005
Al 0.844 0.527 0.605
Al 0.879 0.638 0.199
Al 0.960 0.881 0.401
B 0.020 0.227 0.966
B 0.020 0.894 0.633
B 0.060 0.013 0.233
B 0.060 0.346 0.568
B 0.098 0.135 0.831
B 0.100 0.467 0.167
B 0.140 0.253 0.434
B 0.140 0.586 0.767
B 0.179 0.374 0.033
B 0.180 0.707 0.366
B 0.220 0.827 0.967
B 0.221 0.492 0.634
B 0.260 0.615 0.232
B 0.260 0.948 0.566
B 0.298 0.734 0.833
B 0.300 0.066 0.167
B 0.340 0.187 0.766
B 0.340 0.854 0.433
B 0.381 0.307 0.367
B 0.383 0.972 0.035
B 0.420 0.094 0.633
B 0.420 0.427 0.966
B 0.458 0.214 0.233
B 0.458 0.547 0.566
B 0.500 0.333 0.834
B 0.500 0.667 0.166
B 0.542 0.453 0.434
B 0.542 0.786 0.767
B 0.580 0.573 0.034
B 0.580 0.906 0.367
B 0.617 0.028 0.965
B 0.619 0.693 0.633
B 0.660 0.146 0.567
B 0.660 0.813 0.234
B 0.700 0.934 0.833
B 0.702 0.266 0.167
B 0.740 0.052 0.434
B 0.740 0.385 0.768
B 0.779 0.508 0.366
B 0.780 0.173 0.033
B 0.820 0.293 0.634
B 0.821 0.626 0.967
B 0.860 0.414 0.233
B 0.860 0.747 0.566
B 0.900 0.533 0.833
B 0.902 0.865 0.169
B 0.940 0.654 0.432
B 0.940 0.987 0.767
B 0.980 0.106 0.367
B 0.980 0.773 0.034

## Properties
D(E_F): 0.098 states/eV per atom
magnetic moment: 0.00 μB per cell
formation energy from the elements: -6.1 eV/f.u.

CaPb2 | SCAN | single point on PBEsol structure

a = 5.480 Å, b = 5.480 Å, c = 3.436 Å
α = 90.00°, β = 90.00°, γ = 120.00°
Sites, in units of the cell vectors:
Ca 0.000 0.000 0.000
Pb 0.333 0.667 0.500
Pb 0.667 0.333 0.500

## Properties
D(E_F): 0.494 states/eV per atom
magnetic moment: 0.00 μB per cell
formation energy from the elements: -1.3 eV/f.u.

LiLaCd2 | SCAN | single point on PBEsol structure

a = 7.156 Å, b = 7.156 Å, c = 7.156 Å
α = 90.00°, β = 90.00°, γ = 90.00°
Sites, in units of the cell vectors:
Li 0.000 0.000 0.000
Li 0.000 0.500 0.500
Li 0.500 0.000 0.500
Li 0.500 0.500 0.000
La 0.250 0.250 0.250
La 0.250 0.750 0.750
La 0.750 0.250 0.750
La 0.750 0.750 0.250
Cd 0.000 0.000 0.500
Cd 0.000 0.500 0.000
Cd 0.250 0.250 0.750
Cd 0.250 0.750 0.250
Cd 0.500 0.000 0.000
Cd 0.500 0.500 0.500
Cd 0.750 0.250 0.250
Cd 0.750 0.750 0.750

## Properties
D(E_F): 0.235 states/eV per atom
magnetic moment: 0.00 μB per cell
formation energy from the elements: -1.5 eV/f.u.

Repeat the second record exactly.
NaCa2Cu2 | SCAN | single point on PBEsol structure

a = 7.806 Å, b = 7.806 Å, c = 3.919 Å
α = 90.00°, β = 90.00°, γ = 90.00°
Sites, in units of the cell vectors:
Na 0.000 0.000 0.000
Na 0.500 0.500 0.000
Ca 0.172 0.328 0.500
Ca 0.328 0.828 0.500
Ca 0.672 0.172 0.500
Ca 0.828 0.672 0.500
Cu 0.111 0.611 0.000
Cu 0.389 0.111 0.000
Cu 0.611 0.889 0.000
Cu 0.889 0.389 0.000

## Properties
D(E_F): 0.505 states/eV per atom
magnetic moment: 0.00 μB per cell
formation energy from the elements: -0.1 eV/f.u.

Number 4 is which compound? TaTcMo2

magnetic moment of number 3 (Na2CoSiO4)? 6.00 μB per cell